Density functional theory data (PBE) for Dy3ThAu4 after structural relaxation.

V	24.0	Å³ per atom
energy	-40.52	eV per formula unit
Fermi-level density of states	5.618	states/eV per cell
E_form	-773	meV per atom
magnetic moment	0.00	Bohr magnetons per cell

a = 5.1135 Å, b = 5.1135 Å, c = 8.9861 Å
α = 73.47°, β = 73.47°, γ = 60.00°
With the nearest neighbours (Å) after each atom.
Atoms (fractional coordinates):
Au 0.8732 0.8732 0.3804  7 Dy 3.08-3.13, 1 Th 3.23
Au 0.3789 0.3789 0.8632  5 Dy 3.08-3.34, 3 Th 3.17
Au 0.1268 0.1268 0.6196  7 Dy 3.08-3.13, 1 Th 3.23
Au 0.6211 0.6211 0.1368  5 Dy 3.08-3.34, 3 Th 3.17
Th 0.0000 0.0000 0.0000  8 Au 3.17-3.23
Dy 0.2477 0.2477 0.2568  8 Au 3.08-3.34
Dy 0.7523 0.7523 0.7432  8 Au 3.08-3.34
Dy 0.5000 0.5000 0.5000  8 Au 3.08-3.12